The following is a DFT calculation (PBE) of a relaxed structure of SrAgHg2Pd.

abc: 5.2263 5.2263 5.2555
angles: 90.00 90.00 90.00
With the nearest neighbours (Å) after each atom.
Sites, in units of the cell vectors:
Pd: 0.0000 0.0000 0.0000  4 Hg 2.61, 2 Ag 2.63
Sr: 0.5000 0.5000 0.5000  4 Ag 3.70, 8 Hg 3.71
Hg: 0.0000 0.5000 0.0000  2 Pd 2.61
Hg: 0.5000 0.0000 0.0000  2 Pd 2.61
Ag: 0.0000 0.0000 0.5000  2 Pd 2.63

electronic total energy = -0.1649 Ry/atom
mass density = 8.1 Mg/m³